No. 1
Here is an optimized crystal structure of Os2N from OQMD via LeMat-Bulk. Energies are from GGA-PBE.

Computed properties:
Theoretical density (g/cm³): 8.0
Energy (eV per atom): -7.976

Cell lengths 8.680, 8.680, 8.680 Å; angles 90.00, 90.00, 90.00 degrees
Space group Fd-3m (No. 227, origin choice 2)
Symmetry-distinct sites (fractional):
Os  0.000  0.000  0.000 (multiplicity 16)
N  0.125  0.125  0.125 (multiplicity 8)

No. 2
Here is an optimized crystal structure of OsN from OQMD via LeMat-Bulk. Energies are from GGA-PBE.

Computed properties:
Theoretical density (g/cm³): 15.3
Energy (eV per atom): -9.146

Cell lengths 2.685, 2.685, 6.160 Å; angles 90.00, 90.00, 90.00 degrees
Space group P4_2/mmc (No. 131)
Symmetry-distinct sites (fractional):
Os  0.000  0.500  0.000 (multiplicity 2)
N  0.000  0.000  0.250 (multiplicity 2)

No. 3
Here is an optimized crystal structure of OsN from OQMD via LeMat-Bulk. Energies are from GGA-PBE.

Computed properties:
Theoretical density (g/cm³): 15.4
Energy (eV per atom): -8.505

Cell lengths 5.490, 3.855, 4.165 Å; angles 90.00, 90.00, 90.00 degrees
Space group Pmma (No. 51)
Symmetry-distinct sites (fractional):
Os  0.000  0.000  0.000 (multiplicity 2)
Os  0.250  0.500  0.393 (multiplicity 2)
N  0.250  0.000  0.375 (multiplicity 2)
N  0.250  0.500  0.881 (multiplicity 2)

No. 4
Here is an optimized crystal structure of OsN2 from OQMD via LeMat-Bulk. Energies are from GGA-PBE.

Computed properties:
Theoretical density (g/cm³): 4.9
Energy (eV per atom): -8.670

Cell lengths 8.386, 8.386, 8.386 Å; angles 90.00, 90.00, 90.00 degrees
Space group Fd-3m (No. 227, origin choice 2)
Symmetry-distinct sites (fractional):
Os  0.125  0.125  0.125 (multiplicity 8)
N  0.000  0.000  0.000 (multiplicity 16)

No. 5
Here is an optimized crystal structure of OsN from OQMD via LeMat-Bulk. Energies are from GGA-PBE.

Computed properties:
Theoretical density (g/cm³): 14.1
Energy (eV per atom): -9.102

Cell lengths 4.587, 4.587, 4.587 Å; angles 90.00, 90.00, 90.00 degrees
Space group F-43m (No. 216)
Symmetry-distinct sites (fractional):
Os  0.000  0.000  0.000 (multiplicity 4)
N  0.250  0.250  0.250 (multiplicity 4)

No. 6
Here is an optimized crystal structure of OsN2 from OQMD via LeMat-Bulk. Energies are from GGA-PBE.

Computed properties:
Theoretical density (g/cm³): 12.7
Energy (eV per atom): -8.251

Cell lengths 4.850, 4.850, 4.850 Å; angles 90.00, 90.00, 90.00 degrees
Space group Fm-3m (No. 225)
Symmetry-distinct sites (fractional):
Os  0.000  0.000  0.000 (multiplicity 4)
N  0.250  0.250  0.250 (multiplicity 8)